[1]
First-principles (PBE-GGA) data for La3Ta after structural relaxation, as listed in Alexandria via LeMat-Bulk.

Computed properties:
N(E_F): 5.75 states/eV/f.u.
SG: C2/m
formation enthalpy at 0 K: 0.42 eV/atom

Cell and atoms, written as extended XYZ:
```
4
Lattice="-2.7559 1.2715 1.5601 -1.8442 -4.9711 -2.9384 1.8770 -2.3941 5.2669" Properties=species:S:1:pos:R:3 pbc="T T T"
La -0.2033 -3.9632 2.8710
La -0.0838 -0.2114 0.0243
La -2.1999 -5.3210 0.4507
Ta -2.5198 -2.1304 1.0176
```

[2]
First-principles (PBE-GGA) data for Ac5Hg2 after structural relaxation, as listed in Alexandria via LeMat-Bulk.

Computed properties:
N(E_F): 7.55 states/eV/f.u.
SG: C2/c
formation enthalpy at 0 K: -0.21 eV/atom

Cell and atoms, written as extended XYZ:
```
14
Lattice="-4.2941 -2.8986 5.6774 6.2389 -0.3334 4.5486 -0.5196 10.2567 -0.3589" Properties=species:S:1:pos:R:3 pbc="T T T"
Ac -1.9881 2.1665 5.7372
Ac -0.4349 5.8969 6.7751
Ac 1.9008 2.5192 6.9942
Ac 2.7995 -1.5189 5.8966
Ac -0.8547 -1.7131 4.3293
Ac 1.8602 1.1278 3.0920
Ac -0.4755 4.5055 2.8728
Ac -0.1758 8.3442 0.0339
Ac 1.6011 -1.3195 9.8332
Ac 3.4133 4.8582 4.1298
Hg -1.4516 1.1112 2.6173
Hg -0.0280 -0.2002 7.1338
Hg 2.8769 5.9135 7.2497
Hg 1.4533 7.2249 2.7333
```

[3]
First-principles (PBE-GGA) data for BeHg2As after structural relaxation, as listed in Alexandria via LeMat-Bulk.

Computed properties:
N(E_F): 1.99 states/eV/f.u.
SG: P4/mmm
formation enthalpy at 0 K: 0.63 eV/atom
energy above the most stable polymorph in this dataset: 0.568 eV/atom

Cell and atoms, written as extended XYZ:
```
4
Lattice="-4.8424 -1.9708 -0.3742 1.8640 -4.0594 -2.7421 0.4106 -1.4772 2.4659" Properties=species:S:1:pos:R:3 pbc="T T T"
Be 1.1373 -2.7683 -0.1381
Hg -1.4892 -3.0151 -1.5582
Hg 0.0000 0.0000 0.0000
As -2.2159 -1.7240 1.0459
```

[4]
First-principles (PBE-GGA) data for BaTiAsBr2 after structural relaxation, as listed in Alexandria via LeMat-Bulk.

Computed properties:
N(E_F): 4.36 states/eV/f.u.
SG: P4/mmm
energy above the most stable polymorph in this dataset: 1.237 eV/atom

Cell and atoms, written as extended XYZ:
```
5
Lattice="-0.2683 -1.7717 -5.8082 -4.6530 -3.6756 1.3361 -4.1690 4.8138 -1.2757" Properties=species:S:1:pos:R:3 pbc="T T T"
As -2.0845 2.4069 -0.6379
Ba 0.0000 0.0000 0.0000
Br -2.3265 -1.8378 0.6681
Br -0.1342 -0.8858 -2.9041
Ti -4.5451 -0.3168 -2.8739
```

[5]
First-principles (PBE-GGA) data for NbSbW3 after structural relaxation, as listed in Alexandria via LeMat-Bulk.

Computed properties:
N(E_F): 9.07 states/eV/f.u.
SG: Pm-3m
energy above the most stable polymorph in this dataset: 0.262 eV/atom

Cell and atoms, written as extended XYZ:
```
5
Lattice="4.8168 0.0000 0.0000 0.0000 4.8168 0.0000 0.0000 0.0000 4.8168" Properties=species:S:1:pos:R:3 pbc="T T T"
Sb 0.0000 0.0000 0.0000
W 2.4084 0.0000 0.0000
W 0.0000 2.4084 0.0000
W 0.0000 0.0000 2.4084
Nb 2.4084 2.4084 2.4084
```

[6]
First-principles (PBE-GGA) data for HfAl4Pd7 after structural relaxation, as listed in Alexandria via LeMat-Bulk.

Computed properties:
N(E_F): 3.93 states/eV/f.u.
SG: C2/m
formation enthalpy at 0 K: -0.56 eV/atom

Cell and atoms, written as extended XYZ:
```
12
Lattice="-2.3592 -3.6099 1.9846 -2.8372 -4.3691 -5.6422 3.5749 -5.0799 0.6871" Properties=species:S:1:pos:R:3 pbc="T T T"
Al -1.8695 -6.8492 -3.3254
Al 0.2481 -6.2097 0.3550
Al -1.3549 -2.9465 -1.2926
Al -0.2665 -10.1124 -1.6779
Pd -2.3094 -9.5075 -3.0062
Pd -1.3010 -4.1696 -3.4532
Pd -1.1796 -1.8049 0.9923
Pd -0.3204 -8.8894 0.4827
Pd 0.6880 -3.5514 0.0357
Pd 0.1512 -7.4874 -2.0843
Pd -1.7726 -5.5715 -0.8862
Hf 0.0000 0.0000 0.0000
```

[7]
First-principles (PBE-GGA) data for Ca2NiSb2 after structural relaxation, as listed in Alexandria via LeMat-Bulk.

Computed properties:
N(E_F): 2.90 states/eV/f.u.
SG: P4/mbm
E: -41.6 eV per cell

Cell and atoms, written as extended XYZ:
```
10
Lattice="7.1664 0.0000 0.0000 0.0000 7.1664 0.0000 0.0000 0.0000 4.8190" Properties=species:S:1:pos:R:3 pbc="T T T"
Ni 0.0000 0.0000 0.0000
Ni 3.5832 3.5832 0.0000
Ca 4.7682 5.9815 2.4095
Ca 2.3983 1.1849 2.4095
Ca 1.1849 4.7682 2.4095
Ca 5.9815 2.3983 2.4095
Sb 6.0748 4.6748 0.0000
Sb 2.4916 6.0748 0.0000
Sb 1.0916 2.4916 0.0000
Sb 4.6748 1.0916 0.0000
```

[8]
First-principles (PBE-GGA) data for Ag2WAu after structural relaxation, as listed in Alexandria via LeMat-Bulk.

Computed properties:
N(E_F): 3.68 states/eV/f.u.
SG: R3m
formation enthalpy at 0 K: 0.34 eV/atom
energy above the most stable polymorph in this dataset: 0.014 eV/atom

Cell and atoms, written as extended XYZ:
```
4
Lattice="-1.4484 8.0016 -5.3287 -3.3354 6.2621 -6.6469 -4.1164 7.7023 -4.2720" Properties=species:S:1:pos:R:3 pbc="T T T"
W -2.2155 5.4680 -4.0445
Ag -6.6762 16.4772 -12.1877
Ag -8.8927 21.9475 -16.2339
Au -4.4661 11.0225 -8.1530
```

[9]
First-principles (PBE-GGA) data for Sm4TeS2N after structural relaxation, as listed in Alexandria via LeMat-Bulk.

Computed properties:
N(E_F): 7.30 states/eV/f.u.
SG: I-42m
E: -50.1 eV per cell

Cell and atoms, written as extended XYZ:
```
8
Lattice="-2.3155 -5.2253 4.4160 0.6289 -6.3564 -1.2850 3.8304 -3.0662 4.2868" Properties=species:S:1:pos:R:3 pbc="T T T"
Sm -1.0379 -8.2237 3.7221
Sm 1.9973 -7.6414 1.6342
Sm 2.3255 -8.3564 5.3286
Sm 1.0028 -5.0742 4.1505
S 0.5396 -3.6642 1.8537
S 1.6042 -10.9836 5.5640
N 1.0719 -7.3239 3.7089
Te 0.0000 0.0000 0.0000
```

[10]
First-principles (PBE-GGA) data for CuOsCl2 after structural relaxation, as listed in Alexandria via LeMat-Bulk.

Computed properties:
N(E_F): 3.05 states/eV/f.u.
SG: P2/m
energy above the most stable polymorph in this dataset: 0.407 eV/atom

Cell and atoms, written as extended XYZ:
```
4
Lattice="-0.5769 1.6876 -3.5048 -2.0070 -2.0562 -0.6598 -2.9463 4.4004 2.6038" Properties=species:S:1:pos:R:3 pbc="T T T"
Cu -1.5268 1.4299 -1.2664
Os -4.0034 2.6020 -0.2944
Cl -2.7868 0.8813 0.8831
Cl -4.6431 2.6349 2.0330
```

[11]
First-principles (PBE-GGA) data for Pr14NdPb after structural relaxation, as listed in Alexandria via LeMat-Bulk.

Computed properties:
N(E_F): 22.29 states/eV/f.u.
SG: Amm2
formation enthalpy at 0 K: -0.05 eV/atom

Cell and atoms, written as extended XYZ:
```
16
Lattice="7.2868 0.9777 0.0000 -0.9776 7.2868 0.0000 0.0000 0.0000 10.3934" Properties=species:S:1:pos:R:3 pbc="T T T"
Pr 0.0875 6.4736 7.8522
Pr 2.1204 4.9217 5.1967
Pr 3.6746 6.9555 2.5444
Pr 2.6121 1.2812 0.0000
Pr 4.1556 3.3680 7.8453
Pr 0.5682 2.8864 2.5444
Pr 3.6746 6.9555 7.8490
Pr 0.5682 2.8864 7.8490
Pr 4.1556 3.3680 2.5481
Pr 5.7617 5.4069 0.0000
Pr 5.7657 5.4107 5.1967
Pr 2.6096 1.2764 5.1967
Pr 6.2571 1.7637 5.1967
Pr 0.0875 6.4736 2.5412
Nd 6.2531 1.7667 0.0000
Pb 2.1215 4.9209 0.0000
```

[12]
First-principles (PBE-GGA) data for BaCoTe2 after structural relaxation, as listed in Alexandria via LeMat-Bulk.

Computed properties:
N(E_F): 2.67 states/eV/f.u.
SG: P4/mmm
E: -15.9 eV per cell

Cell and atoms, written as extended XYZ:
```
4
Lattice="-1.1853 0.9965 3.4625 -3.6021 -0.4111 -1.1148 0.1722 -7.5990 2.2460" Properties=species:S:1:pos:R:3 pbc="T T T"
Ba -2.3507 -1.6071 1.7353
Co -2.2645 -5.4066 2.8583
Te 0.0940 -4.1461 1.2254
Te 0.1644 -7.2524 2.1435
```

Which formula does entry 12 have?
BaCoTe2

What is the formula in the second record?
Ac5Hg2

Among the records above, which one has the lowest N(E_F)?
BeHg2As

What is the formula in the ninth record?
Sm4TeS2N